(1)
{"formula": "SrY2Os2", "functional": "GGA-PBE", "state": "optimized geometry", "lattice": [[8.3252, 0.0000, 0.0000], [0.0000, 8.3252, 0.0000], [0.0000, 0.0000, 3.3922]], "species": ["Sr", "Sr", "Y", "Y", "Y", "Y", "Os", "Os", "Os", "Os"], "frac_coords": [[0.0000, 0.0000, 0.0000], [0.5000, 0.5000, 0.0000], [0.1414, 0.3586, 0.5000], [0.3586, 0.8586, 0.5000], [0.6414, 0.1414, 0.5000], [0.8586, 0.6414, 0.5000], [0.1511, 0.6511, 0.0000], [0.3489, 0.1511, 0.0000], [0.6511, 0.8489, 0.0000], [0.8489, 0.3489, 0.0000]], "delta_e_f_mev_per_atom": 175.5, "total_energy_ev_per_atom": -7.238}

=====

(2)
{"formula": "SrY2Os", "functional": "GGA-PBE", "state": "optimized geometry", "lattice": [[3.6315, -2.0930, 0.0000], [3.6315, 2.0930, 0.0000], [-2.3968, 0.0000, 9.1409]], "species": ["Sr", "Y", "Y", "Os"], "frac_coords": [[0.0000, 0.0000, 0.0000], [0.2154, 0.2154, 0.6474], [0.7846, 0.7846, 0.3526], [0.5000, 0.5000, 0.5000]], "delta_e_f_mev_per_atom": 58.2, "total_energy_ev_per_atom": -6.402}

=====

(3)
{"formula": "Sr2YOs", "functional": "GGA-PBE", "state": "optimized geometry", "lattice": [[0.0000, 3.8282, 3.8282], [3.8282, 0.0000, 3.8282], [3.8282, 3.8282, 0.0000]], "species": ["Sr", "Sr", "Y", "Os"], "frac_coords": [[0.2500, 0.2500, 0.2500], [0.7500, 0.7500, 0.7500], [0.0000, 0.0000, 0.0000], [0.5000, 0.5000, 0.5000]], "delta_e_f_mev_per_atom": 783.8, "total_energy_ev_per_atom": -4.481}

=====

(4)
{"formula": "Sr2YOs", "functional": "GGA-PBE", "state": "optimized geometry", "lattice": [[3.1075, -5.4491, 0.0000], [3.1075, 5.4491, 0.0000], [-1.0969, 0.0000, 3.3162]], "species": ["Sr", "Sr", "Y", "Os"], "frac_coords": [[0.0000, 0.5000, 0.0000], [0.5000, 0.0000, 0.0000], [0.0000, 0.0000, 0.5000], [0.5000, 0.5000, 0.5000]], "delta_e_f_mev_per_atom": 820.2, "total_energy_ev_per_atom": -4.444}

=====

(5)
{"formula": "Sr2YOs", "functional": "GGA-PBE", "state": "optimized geometry", "lattice": [[-2.2716, 2.2716, 5.4245], [2.2716, -2.2716, 5.4245], [2.2716, 2.2716, -5.4245]], "species": ["Sr", "Sr", "Y", "Os"], "frac_coords": [[0.2500, 0.7500, 0.5000], [0.7500, 0.2500, 0.5000], [0.0000, 0.0000, 0.0000], [0.5000, 0.5000, 0.0000]], "delta_e_f_mev_per_atom": 636.2, "total_energy_ev_per_atom": -4.628}

=====

(6)
{"formula": "Sr4YOs", "functional": "GGA-PBE", "state": "optimized geometry", "lattice": [[0.0000, 4.7317, 4.7317], [4.7317, 0.0000, 4.7317], [4.7317, 4.7317, 0.0000]], "species": ["Sr", "Sr", "Sr", "Sr", "Y", "Os"], "frac_coords": [[0.3765, 0.3765, 0.3765], [0.3765, 0.3765, 0.8705], [0.3765, 0.8705, 0.3765], [0.8705, 0.3765, 0.3765], [0.0000, 0.0000, 0.0000], [0.7500, 0.7500, 0.7500]], "delta_e_f_mev_per_atom": 1243.8, "total_energy_ev_per_atom": -2.826}

=====

(7)
{"formula": "Sr2YOs", "functional": "GGA-PBE", "state": "optimized geometry", "lattice": [[4.5562, 0.0000, 0.0000], [0.0000, 4.5562, 0.0000], [0.0000, 0.0000, 5.3646]], "species": ["Sr", "Sr", "Y", "Os"], "frac_coords": [[0.0000, 0.5000, 0.0000], [0.5000, 0.0000, 0.0000], [0.0000, 0.0000, 0.5000], [0.5000, 0.5000, 0.5000]], "delta_e_f_mev_per_atom": 616.6, "total_energy_ev_per_atom": -4.648}

=====

(8)
{"formula": "Sr2YOs", "functional": "GGA-PBE", "state": "optimized geometry", "lattice": [[3.6104, 0.0000, 0.0000], [0.0000, 3.6104, 0.0000], [0.0000, 0.0000, 10.1586]], "species": ["Sr", "Sr", "Y", "Os"], "frac_coords": [[0.0000, 0.0000, 0.0000], [0.5000, 0.5000, 0.3598], [0.0000, 0.0000, 0.6709], [0.5000, 0.5000, 0.8067]], "delta_e_f_mev_per_atom": 196.7, "total_energy_ev_per_atom": -5.068}